VASP calculation (GGA-PBE) on KTiB2Au after structural relaxation.

## Properties
As for the size of the total moment: 0.00 Bohr magnetons per cell. The energy of formation comes out at 1.023 eV/atom. The symmetry is P4/mmm (123).

Cell and atoms, written as POSCAR:
```
KTiB2Au
1.0
4.4456 0.0000 0.0000
0.0000 5.2530 0.0000
0.0000 0.0000 4.4456
K B Au Ti
1 2 1 1
direct
0.5000 0.5000 0.5000
0.0000 0.0000 0.5000
0.5000 0.0000 0.0000
0.0000 0.5000 0.0000
0.0000 0.0000 0.0000
```

---

VASP calculation (GGA-PBE) on KVB2Au after structural relaxation.

## Properties
As for the size of the total moment: 0.00 Bohr magnetons per cell. The energy of formation comes out at 3.140 eV/atom. The symmetry is P4/mmm (123).

Cell and atoms, written as POSCAR:
```
KVB2Au
1.0
4.5093 0.0000 0.0000
0.0000 4.3123 0.0000
0.0000 0.0000 4.5093
K B Au V
1 2 1 1
direct
0.0000 0.0000 0.0000
0.0000 0.0000 0.5000
0.5000 0.0000 0.0000
0.5000 0.5000 0.5000
0.0000 0.5000 0.0000
```

---

VASP calculation (GGA-PBE) on La2BAu2 after structural relaxation.

## Properties
As for the size of the total moment: 0.00 Bohr magnetons per cell. The energy of formation comes out at 0.002 eV/atom. The energy above the most stable polymorph in this dataset comes out at 0.084 eV per atom. The symmetry is P4/mbm (127).

Cell and atoms, written as POSCAR:
```
La2BAu2
1.0
7.9041 0.0000 0.0000
0.0000 7.9041 0.0000
0.0000 0.0000 4.2339
B Au La
2 4 4
direct
0.0000 0.0000 0.0000
0.5000 0.5000 0.0000
0.1263 0.6263 0.5000
0.6263 0.8737 0.5000
0.8737 0.3737 0.5000
0.3737 0.1263 0.5000
0.3201 0.8201 0.0000
0.8201 0.6799 0.0000
0.6799 0.1799 0.0000
0.1799 0.3201 0.0000
```

---

VASP calculation (GGA-PBE) on La2BAu2 after structural relaxation.

## Properties
As for the size of the total moment: 0.00 Bohr magnetons per cell. The energy of formation comes out at -0.082 eV/atom. The energy above the most stable polymorph in this dataset comes out at 0.000 eV per atom. The symmetry is I4/mmm (139).

Cell and atoms, written as POSCAR:
```
La2BAu2
1.0
3.7663 0.0000 0.0000
0.0000 3.7663 0.0000
1.8832 1.8832 8.3507
B Au La
1 2 2
direct
0.0000 0.0000 0.0000
0.7500 0.2500 0.5000
0.2500 0.7500 0.5000
0.4107 0.4107 0.1786
0.5893 0.5893 0.8214
```

---

VASP calculation (GGA-PBE) on LaB2Au after structural relaxation.

## Properties
As for the size of the total moment: 0.00 Bohr magnetons per cell. The energy of formation comes out at 0.601 eV/atom. The energy above the most stable polymorph in this dataset comes out at 0.425 eV per atom. The symmetry is Fm-3m (225).

Cell and atoms, written as POSCAR:
```
LaB2Au
1.0
-0.4176 -1.4592 4.2348
0.2324 2.9164 3.4173
-3.6952 0.9911 2.3665
B Au La
2 1 1
direct
0.2500 0.2500 0.2500
0.7500 0.7500 0.7500
0.5000 0.5000 0.5000
0.0000 0.0000 0.0000
```

---

VASP calculation (GGA-PBE) on LaB2Au after structural relaxation.

## Properties
As for the size of the total moment: 0.00 Bohr magnetons per cell. The energy of formation comes out at 0.176 eV/atom. The energy above the most stable polymorph in this dataset comes out at 0.000 eV per atom. The symmetry is I4_1/amd (141).

Cell and atoms, written as POSCAR:
```
LaB2Au
1.0
4.4058 0.0000 0.0000
0.0000 4.4058 0.0000
2.2029 2.2029 7.3628
B Au La
4 2 2
direct
0.8747 0.1250 0.2500
0.8753 0.6250 0.2500
0.3750 0.1253 0.7500
0.8750 0.1247 0.7500
0.0000 0.0000 0.0000
0.7500 0.2500 0.5000
0.5000 0.5000 0.0000
0.2500 0.7500 0.5000
```

---

Repeat the sixth record exactly.
VASP calculation (GGA-PBE) on LaB2Au after structural relaxation.

## Properties
As for the size of the total moment: 0.00 Bohr magnetons per cell. The energy of formation comes out at 0.176 eV/atom. The energy above the most stable polymorph in this dataset comes out at 0.000 eV per atom. The symmetry is I4_1/amd (141).

Cell and atoms, written as POSCAR:
```
LaB2Au
1.0
4.4058 0.0000 0.0000
0.0000 4.4058 0.0000
2.2029 2.2029 7.3628
B Au La
4 2 2
direct
0.8747 0.1250 0.2500
0.8753 0.6250 0.2500
0.3750 0.1253 0.7500
0.8750 0.1247 0.7500
0.0000 0.0000 0.0000
0.7500 0.2500 0.5000
0.5000 0.5000 0.0000
0.2500 0.7500 0.5000
```